[1]
DFT (PBE-GGA) results for crystalline CaMgP2Se6 at its relaxed geometry.

Structure (extended XYZ):
```
10
Lattice="3.323 1.919 7.588 -3.323 1.919 7.588 0.000 -3.837 7.588" Properties=species:S:1:pos:R:3 pbc="T T T"
Ca 0.000 0.000 0.000
Mg 0.000 0.000 15.097
P 0.000 0.000 6.421
P 0.000 0.000 8.681
Se -2.115 -0.201 9.322
Se -0.939 -1.936 13.356
Se 1.231 -1.731 9.322
Se -1.207 1.781 13.356
Se 0.884 1.932 9.322
Se 2.146 0.155 13.356
```

Properties
ΔE_f (raw)	-740	meV per atom
total moment	0.00	Bohr magnetons per cell

=====

[2]
DFT (PBE-GGA) results for crystalline CaMgTa2P at its relaxed geometry.

Structure (extended XYZ):
```
5
Lattice="4.696 0.000 0.000 0.000 4.696 0.000 0.000 0.000 5.212" Properties=species:S:1:pos:R:3 pbc="T T T"
Ca 0.000 0.000 0.000
Mg 2.348 2.348 0.000
Ta 0.000 2.348 2.606
Ta 2.348 0.000 2.606
P 0.000 0.000 2.606
```

Properties
energy relative to the elements	229	meV/atom
total moment	0.00	Bohr magnetons per cell

=====

[3]
DFT (PBE-GGA) results for crystalline CaMgTc2P at its relaxed geometry.

Structure (extended XYZ):
```
5
Lattice="4.758 0.000 0.000 0.000 4.758 0.000 0.000 0.000 4.685" Properties=species:S:1:pos:R:3 pbc="T T T"
Ca 0.000 0.000 0.000
Mg 2.379 2.379 2.343
Tc 0.000 2.379 2.343
Tc 2.379 0.000 2.343
P 2.379 2.379 0.000
```

Properties
energy relative to the elements	1256	meV/atom
total moment	3.60	Bohr magnetons per cell

=====

[4]
DFT (PBE-GGA) results for crystalline Ca4MgU3P8 at its relaxed geometry.

Structure (extended XYZ):
```
16
Lattice="4.004 2.312 6.645 -4.004 2.312 6.645 0.000 -4.623 6.645" Properties=species:S:1:pos:R:3 pbc="T T T"
Ca 0.000 0.000 0.000
Ca -2.002 -1.156 6.645
Ca -2.002 1.156 13.290
Ca 0.000 2.312 6.645
Mg 0.000 0.000 9.968
U -4.004 0.000 9.968
U -2.002 1.156 3.323
U 2.002 1.156 3.323
P -2.044 -1.180 11.461
P 0.000 0.000 4.833
P 0.000 -2.360 8.474
P -2.044 1.180 8.474
P 2.044 -1.180 11.461
P 0.000 2.360 11.461
P 0.000 0.000 15.102
P 2.044 1.180 8.474
```

Properties
energy relative to the elements	-988	meV/atom
total moment	4.01	Bohr magnetons per cell